Material: Sr4N
Method: DFT, GGA-PBE
State: optimized geometry

Values from the calculation:
Energy relative to the elements, uncorrected ... -127.5 kJ/mol of formula units
Total magnetization ... 0.00 Bohr magnetons per cell
Excess energy over the best structure of this formula in the dataset ... 0.0 kJ/mol of formula units
Electronic total energy ... -32.75 eV for the cell shown

```
10
Lattice="-4.939 4.939 4.617 4.939 -4.939 4.617 4.939 4.939 -4.617" Properties=species:S:1:pos:R:3 pbc="T T T"
Sr 2.907 2.470 -0.102
Sr 6.972 2.470 -0.102
Sr 0.000 0.437 2.206
Sr 4.939 0.437 2.411
Sr 0.000 4.502 2.206
Sr 4.939 4.502 2.411
Sr -2.032 2.470 4.720
Sr 2.032 2.470 4.720
N 4.939 2.470 1.154
N 0.000 2.470 3.463
```